No. 1
ZnCoRu: optimized geometry, GGA-PBE.

## Properties
Formation energy   10.80 kJ/mol of atoms
Crystal system   orthorhombic
Distance to the lowest polymorph of the same formula   20 kJ/mol of formula units
Space group   Cmcm

Lattice parameters (Å, degrees): 3.810 3.760 10.942 90.00 90.00 90.00
Fractional positions:
Ru1 0.250 0.000 0.906
Ru2 0.750 0.500 0.594
Ru3 0.750 0.000 0.094
Ru4 0.250 0.500 0.406
Co1 0.750 0.500 0.247
Co2 0.250 0.000 0.253
Co3 0.750 0.000 0.747
Co4 0.250 0.500 0.753
Zn1 0.250 0.000 0.588
Zn2 0.250 0.500 0.088
Zn3 0.750 0.000 0.412
Zn4 0.750 0.500 0.912

No. 2
TeRuPt4: optimized geometry, GGA-PBE.

## Properties
E_form (uncorrected)   39 kJ per mole of atoms
Crystal system   cubic
Space group   F-43m

Lattice parameters (Å, degrees): 5.320 5.320 5.320 60.00 60.00 60.00
Fractional positions:
Te1 0.000 0.000 0.000
Ru1 0.750 0.750 0.750
Pt1 0.873 0.376 0.376
Pt2 0.376 0.376 0.873
Pt3 0.376 0.873 0.376
Pt4 0.376 0.376 0.376

| no. | total moment (μB per cell) | total DFT energy (no corrections) (Ry per atom) | volume (A^3/atom) |
| --- | --- | --- | --- |
| 1 | 10.7 | -0.424 | 13.1 |
| 2 | 1.9 | -0.419 | 17.7 |